No. 1
The following is a PBE-GGA calculation of a relaxed structure of Ce2HoEr3Sb6, from Alexandria.

The space group is C2/m (No. 12) and the conventional cell measures 19.176, 4.408 and 8.805 Å, with angles of 90.00, 103.25 and 90.00 degrees. The asymmetric unit holds Ce at (0.166, 0.000, 0.332), Ho at (0.000, 0.500, 0.000), Er at (0.000, 0.500, 0.500), Er at (0.167, 0.000, 0.834), Sb at (0.002, 0.000, 0.750), Sb at (0.165, 0.500, 0.588) and Sb at (0.166, 0.500, 0.078).

The uncorrected formation energy is -1.0791 eV/atom. The value obtained for the density of states at the Fermi level is 1.21 states/eV/atom. As for the volume: 30.18 Å³ per atom.

---

No. 2
The following is a PBE-GGA calculation of a relaxed structure of Ce2HoErSb4, from Alexandria.

The space group is P2/m (No. 10) and the conventional cell measures 7.664, 4.432 and 7.680 Å, with angles of 90.00, 109.50 and 90.00 degrees. The asymmetric unit holds Ce at (0.000, 0.000, 0.000), Ce at (0.000, 0.500, 0.500), Ho at (0.500, 0.000, 0.500), Er at (0.500, 0.500, 0.000), Sb at (0.258, 0.000, 0.753) and Sb at (0.258, 0.500, 0.252).

The uncorrected formation energy is -1.0745 eV/atom. The value obtained for the density of states at the Fermi level is 1.66 states/eV/atom. As for the volume: 30.73 Å³ per atom.

---

No. 3
The following is a PBE-GGA calculation of a relaxed structure of Ce3HoEr2Sb6, from Alexandria.

The space group is C2/m (No. 12) and the conventional cell measures 7.678, 13.297 and 7.664 Å, with angles of 90.00, 109.51 and 90.00 degrees. The asymmetric unit holds Ce at (0.000, 0.000, 0.000), Ce at (0.000, 0.334, 0.000), Ho at (0.000, 0.500, 0.500), Er at (0.000, 0.167, 0.500), Sb at (0.247, 0.000, 0.741) and Sb at (0.247, 0.333, 0.742).

The uncorrected formation energy is -1.0727 eV/atom. The value obtained for the density of states at the Fermi level is 1.66 states/eV/atom. As for the volume: 30.73 Å³ per atom.

---

No. 4
The following is a PBE-GGA calculation of a relaxed structure of Ce2HoErSb5, from Alexandria.

The space group is P4/mmm (No. 123) and the conventional cell measures 5.294, 5.294 and 11.514 Å, with angles of 90.00, 90.00 and 90.00 degrees. The asymmetric unit holds Ce at (0.000, 0.000, 0.212), Ho at (0.500, 0.500, 0.000), Er at (0.500, 0.500, 0.500), Sb at (0.000, 0.000, 0.500), Sb at (0.000, 0.500, 0.000) and Sb at (0.500, 0.500, 0.253).

The uncorrected formation energy is -0.2779 eV/atom. The value obtained for the density of states at the Fermi level is 1.86 states/eV/atom. As for the volume: 35.86 Å³ per atom.

---

No. 5
The following is a PBE-GGA calculation of a relaxed structure of Ce3Ho2ErSb6, from Alexandria.

The space group is C2/m (No. 12) and the conventional cell measures 7.681, 13.303 and 7.670 Å, with angles of 90.00, 109.50 and 90.00 degrees. The asymmetric unit holds Ce at (0.000, 0.000, 0.000), Ce at (0.000, 0.333, 0.000), Ho at (0.000, 0.167, 0.500), Er at (0.000, 0.500, 0.500), Sb at (0.247, 0.334, 0.742) and Sb at (0.248, 0.000, 0.742).

The uncorrected formation energy is -1.0762 eV/atom. The value obtained for the density of states at the Fermi level is 1.65 states/eV/atom. As for the volume: 30.78 Å³ per atom.